No. 1
Below is an optimized crystal structure of Dy12Y5Tm2, with properties calculated at the PBE-GGA level.

As for the formation enthalpy at 0 K: 2.3 eV per formula unit. The value obtained for the total energy is -4.958 eV/atom. The magnetic moment comes out at 0.0 μB per cell. The excess energy over the best structure of this formula in the dataset comes out at 2.9 kJ/mol of atoms.

Cell lengths 9.1266, 9.1266, 8.5224 Å; angles 91.08, 91.08, 59.82 degrees
With the nearest neighbours (Å) after each atom.
Fractional coordinates of all 19 atoms:
Dy: 0.0572 0.0572 0.3372  7 Dy 3.35-3.47, 2 Y 3.39-3.61, 2 Tm 3.40
Dy: 0.0680 0.6797 0.3335  4 Y 3.37-3.69, 5 Dy 3.40-3.55, 1 Tm 3.51
Dy: 0.1637 0.5289 0.7571  4 Dy 3.32-3.58, 1 Tm 3.41, 4 Y 3.47-3.70
Dy: 0.3203 0.9320 0.6665  4 Y 3.37-3.69, 5 Dy 3.40-3.55, 1 Tm 3.51
Dy: 0.4093 0.4093 0.1127  5 Dy 3.41-3.58, 2 Tm 3.42, 3 Y 3.42-3.57
Dy: 0.4711 0.8363 0.2429  4 Dy 3.32-3.58, 1 Tm 3.41, 4 Y 3.47-3.70
Dy: 0.5289 0.1637 0.7571  4 Dy 3.32-3.58, 1 Tm 3.41, 4 Y 3.47-3.70
Dy: 0.5907 0.5907 0.8873  5 Dy 3.41-3.58, 2 Tm 3.42, 3 Y 3.42-3.57
Dy: 0.6797 0.0680 0.3335  4 Y 3.37-3.69, 5 Dy 3.40-3.55, 1 Tm 3.51
Dy: 0.8363 0.4711 0.2429  4 Dy 3.32-3.58, 1 Tm 3.41, 4 Y 3.47-3.70
Dy: 0.9320 0.3203 0.6665  4 Y 3.37-3.69, 5 Dy 3.40-3.55, 1 Tm 3.51
Dy: 0.9428 0.9428 0.6628  7 Dy 3.35-3.47, 2 Y 3.39-3.61, 2 Tm 3.40
Y: 0.1989 0.1989 0.0115  8 Dy 3.42-3.62, 2 Tm 3.53, 1 Y 3.69
Y: 0.2667 0.2667 0.4282  10 Dy 3.37-3.73, 2 Y 3.69-3.73
Y: 0.5000 0.5000 0.5000  10 Dy 3.57-3.70, 2 Y 3.73
Y: 0.7333 0.7333 0.5718  10 Dy 3.37-3.73, 2 Y 3.69-3.73
Y: 0.8011 0.8011 0.9885  8 Dy 3.42-3.62, 2 Tm 3.53, 1 Y 3.69
Tm: 0.1770 0.8230 0.0000  1 Tm 3.22, 8 Dy 3.40-3.51, 2 Y 3.53
Tm: 0.8230 0.1770 0.0000  1 Tm 3.22, 8 Dy 3.40-3.51, 2 Y 3.53



No. 2
Below is an optimized crystal structure of PmCu4Ni2, with properties calculated at the PBE-GGA level.

As for the formation enthalpy at 0 K: -1.0 eV per formula unit. The value obtained for the total energy is -4.814 eV/atom. The magnetic moment comes out at 0.0 μB per cell. The excess energy over the best structure of this formula in the dataset comes out at 0.0 kJ/mol of atoms.

Cell lengths 5.1093, 5.1093, 4.8968 Å; angles 118.54, 118.54, 76.87 degrees
With the nearest neighbours (Å) after each atom.
Fractional coordinates of all 7 atoms:
Pm: 0.0000 0.0000 0.0000  12 Cu 2.75-3.00
Cu: 0.0002 0.3870 0.6935  4 Cu 2.46-2.65, 4 Ni 2.60-2.61
Cu: 0.9998 0.6130 0.3065  4 Cu 2.46-2.65, 4 Ni 2.60-2.61
Cu: 0.3870 0.0002 0.6935  4 Cu 2.46-2.65, 4 Ni 2.60-2.61
Cu: 0.6130 0.9998 0.3065  4 Cu 2.46-2.65, 4 Ni 2.60-2.61
Ni: 0.4999 0.4999 0.2500  2 Ni 2.45, 8 Cu 2.60-2.61
Ni: 0.5001 0.5001 0.7500  2 Ni 2.45, 8 Cu 2.60-2.61



No. 3
Below is an optimized crystal structure of LiOs2Se, with properties calculated at the PBE-GGA level.

As for the uncorrected formation energy: 0.60 eV/atom. The value obtained for the total energy is -6.362 eV/atom. The magnetic moment comes out at 0.0 μB per cell.

Cell lengths 5.0309, 5.0309, 5.0309 Å; angles 136.72, 136.72, 62.86 degrees
With the nearest neighbours (Å) after each atom.
Fractional coordinates of all 4 atoms:
Li: 0.0000 0.0000 0.0000  4 Se 2.62, 8 Os 2.84
Os: 0.2500 0.7500 0.5000  4 Os 2.62, 4 Se 2.84, 4 Li 2.84
Os: 0.7500 0.2500 0.5000  4 Os 2.62, 4 Se 2.84, 4 Li 2.84
Se: 0.5000 0.5000 0.0000  4 Li 2.62, 8 Os 2.84